(1)
# meta-GGA SCAN La2Fe4Sb5, PBEsol geometry
# SG ... Imm2
# Energy relative to the elements, uncorrected ... -486 kJ/mol of formula units
# DOS at the Fermi energy ... 7.00 states/eV per cell
data_La2Fe4Sb5
_cell_length_a 4.233
_cell_length_b 4.356
_cell_length_c 13.181
_cell_angle_alpha 99.51
_cell_angle_beta 99.24
_cell_angle_gamma 90.00
_symmetry_space_group_name_H-M 'P 1'
_symmetry_Int_Tables_number 1
_symmetry_space_group_name_Hall 'P 1'
loop_
_atom_site_label
_atom_site_type_symbol
_atom_site_fract_x
_atom_site_fract_y
_atom_site_fract_z
Sb1 Sb 0.256 0.749 0.498
Sb2 Sb 0.755 0.248 0.495
Sb3 Sb 0.112 0.105 0.209
Sb4 Sb 0.899 0.892 0.785
Sb5 Sb 0.515 0.507 0.014
Fe1 Fe 0.007 0.000 0.000
Fe2 Fe 0.459 0.952 0.904
Fe3 Fe 0.957 0.449 0.898
Fe4 Fe 0.559 0.052 0.103
La1 La 0.356 0.349 0.698
La2 La 0.655 0.648 0.296


(2)
# meta-GGA SCAN LaFe4Sb12, PBEsol geometry
# SG ... Im-3
# Energy relative to the elements, uncorrected ... -340 kJ/mol of formula units
# DOS at the Fermi energy ... 5.86 states/eV per cell
data_LaFe4Sb12
_cell_length_a 7.837
_cell_length_b 7.837
_cell_length_c 7.837
_cell_angle_alpha 109.47
_cell_angle_beta 109.47
_cell_angle_gamma 109.47
_symmetry_space_group_name_H-M 'P 1'
_symmetry_Int_Tables_number 1
_symmetry_space_group_name_Hall 'P 1'
loop_
_atom_site_label
_atom_site_type_symbol
_atom_site_fract_x
_atom_site_fract_y
_atom_site_fract_z
La1 La 0.000 0.000 0.000
Fe1 Fe 0.500 0.000 0.000
Fe2 Fe 0.500 0.500 0.500
Fe3 Fe 0.000 0.000 0.500
Fe4 Fe 0.000 0.500 0.000
Sb1 Sb 0.829 0.164 0.665
Sb2 Sb 0.836 0.335 0.171
Sb3 Sb 0.335 0.499 0.164
Sb4 Sb 0.335 0.171 0.836
Sb5 Sb 0.499 0.164 0.335
Sb6 Sb 0.171 0.836 0.335
Sb7 Sb 0.665 0.501 0.836
Sb8 Sb 0.164 0.335 0.499
Sb9 Sb 0.501 0.836 0.665
Sb10 Sb 0.665 0.829 0.164
Sb11 Sb 0.836 0.665 0.501
Sb12 Sb 0.164 0.665 0.829


(3)
# meta-GGA SCAN LaFeSbTe2, PBEsol geometry
# SG ... P4/mmm
# Energy relative to the elements, uncorrected ... -199 kJ/mol of formula units
# DOS at the Fermi energy ... 2.25 states/eV per cell
data_LaFeSbTe2
_cell_length_a 4.791
_cell_length_b 5.218
_cell_length_c 5.218
_cell_angle_alpha 90.00
_cell_angle_beta 90.00
_cell_angle_gamma 90.00
_symmetry_space_group_name_H-M 'P 1'
_symmetry_Int_Tables_number 1
_symmetry_space_group_name_Hall 'P 1'
loop_
_atom_site_label
_atom_site_type_symbol
_atom_site_fract_x
_atom_site_fract_y
_atom_site_fract_z
Sb1 Sb 0.500 0.000 0.000
Te1 Te 0.000 0.000 0.500
Te2 Te 0.000 0.500 0.000
Fe1 Fe 0.000 0.000 0.000
La1 La 0.500 0.500 0.500


(4)
# meta-GGA SCAN LaSc3Fe, PBEsol geometry
# Energy of formation ... 15.3 meV per atom
# SG ... Pm-3m
# DOS at the Fermi energy ... 4.59 states/eV per cell
data_LaSc3Fe
_cell_length_a 4.907
_cell_length_b 4.907
_cell_length_c 4.907
_cell_angle_alpha 90.00
_cell_angle_beta 90.00
_cell_angle_gamma 90.00
_symmetry_space_group_name_H-M 'P 1'
_symmetry_Int_Tables_number 1
_symmetry_space_group_name_Hall 'P 1'
loop_
_atom_site_label
_atom_site_type_symbol
_atom_site_fract_x
_atom_site_fract_y
_atom_site_fract_z
Sc1 Sc 0.000 0.500 0.000
Sc2 Sc 0.000 0.000 0.500
Sc3 Sc 0.500 0.000 0.000
Fe1 Fe 0.000 0.000 0.000
La1 La 0.500 0.500 0.500


(5)
# meta-GGA SCAN LaScFe2, PBEsol geometry
# Energy of formation ... 239.9 meV per atom
# SG ... P4/mmm
# DOS at the Fermi energy ... 3.47 states/eV per cell
data_LaScFe2
_cell_length_a 3.273
_cell_length_b 4.629
_cell_length_c 4.629
_cell_angle_alpha 90.00
_cell_angle_beta 90.00
_cell_angle_gamma 90.00
_symmetry_space_group_name_H-M 'P 1'
_symmetry_Int_Tables_number 1
_symmetry_space_group_name_Hall 'P 1'
loop_
_atom_site_label
_atom_site_type_symbol
_atom_site_fract_x
_atom_site_fract_y
_atom_site_fract_z
Fe1 Fe 0.000 0.000 0.500
Fe2 Fe 0.000 0.500 0.000
La1 La 0.500 0.500 0.500
Sc1 Sc 0.500 0.000 0.000


(6)
# meta-GGA SCAN LaFeSe, PBEsol geometry
# SG ... P-6m2
# Energy relative to the elements, uncorrected ... -213 kJ/mol of formula units
# DOS at the Fermi energy ... 3.36 states/eV per cell
data_LaFeSe
_cell_length_a 3.957
_cell_length_b 4.145
_cell_length_c 4.145
_cell_angle_alpha 120.00
_cell_angle_beta 90.00
_cell_angle_gamma 90.00
_symmetry_space_group_name_H-M 'P 1'
_symmetry_Int_Tables_number 1
_symmetry_space_group_name_Hall 'P 1'
loop_
_atom_site_label
_atom_site_type_symbol
_atom_site_fract_x
_atom_site_fract_y
_atom_site_fract_z
Fe1 Fe 0.500 0.000 0.000
La1 La 0.000 0.333 0.667
Se1 Se 0.500 0.667 0.333


(7)
# meta-GGA SCAN LaFe2Se, PBEsol geometry
# SG ... P4/mmm
# Energy relative to the elements, uncorrected ... -14 kJ/mol of formula units
# DOS at the Fermi energy ... 3.45 states/eV per cell
data_LaFe2Se
_cell_length_a 4.050
_cell_length_b 4.050
_cell_length_c 4.575
_cell_angle_alpha 90.00
_cell_angle_beta 90.00
_cell_angle_gamma 90.00
_symmetry_space_group_name_H-M 'P 1'
_symmetry_Int_Tables_number 1
_symmetry_space_group_name_Hall 'P 1'
loop_
_atom_site_label
_atom_site_type_symbol
_atom_site_fract_x
_atom_site_fract_y
_atom_site_fract_z
Fe1 Fe 0.000 0.500 0.000
Fe2 Fe 0.500 0.000 0.000
La1 La 0.500 0.500 0.500
Se1 Se 0.000 0.000 0.500


(8)
# meta-GGA SCAN La4FeSe, PBEsol geometry
# SG ... F-43m
# Energy relative to the elements, uncorrected ... 189 kJ/mol of formula units
# DOS at the Fermi energy ... 5.70 states/eV per cell
data_La4FeSe
_cell_length_a 6.175
_cell_length_b 6.175
_cell_length_c 6.175
_cell_angle_alpha 60.00
_cell_angle_beta 60.00
_cell_angle_gamma 60.00
_symmetry_space_group_name_H-M 'P 1'
_symmetry_Int_Tables_number 1
_symmetry_space_group_name_Hall 'P 1'
loop_
_atom_site_label
_atom_site_type_symbol
_atom_site_fract_x
_atom_site_fract_y
_atom_site_fract_z
Fe1 Fe 0.000 0.000 0.000
La1 La 0.375 0.375 0.375
La2 La 0.375 0.375 0.875
La3 La 0.875 0.375 0.375
La4 La 0.375 0.875 0.375
Se1 Se 0.750 0.750 0.750


(9)
# meta-GGA SCAN LaFe2Si, PBEsol geometry
# SG ... Pm
# Energy relative to the elements, uncorrected ... 5 kJ/mol of formula units
# DOS at the Fermi energy ... 2.43 states/eV per cell
data_LaFe2Si
_cell_length_a 3.425
_cell_length_b 4.109
_cell_length_c 4.995
_cell_angle_alpha 90.00
_cell_angle_beta 106.94
_cell_angle_gamma 90.00
_symmetry_space_group_name_H-M 'P 1'
_symmetry_Int_Tables_number 1
_symmetry_space_group_name_Hall 'P 1'
loop_
_atom_site_label
_atom_site_type_symbol
_atom_site_fract_x
_atom_site_fract_y
_atom_site_fract_z
Fe1 Fe 0.112 0.000 0.031
Fe2 Fe 0.760 0.500 0.136
La1 La 0.500 0.000 0.517
Si1 Si 0.128 0.500 0.816


(10)
# meta-GGA SCAN LaFe2Si, PBEsol geometry
# SG ... Immm
# Energy relative to the elements, uncorrected ... 49 kJ/mol of formula units
# DOS at the Fermi energy ... 2.75 states/eV per cell
data_LaFe2Si
_cell_length_a 4.233
_cell_length_b 4.545
_cell_length_c 4.545
_cell_angle_alpha 67.36
_cell_angle_beta 62.25
_cell_angle_gamma 62.25
_symmetry_space_group_name_H-M 'P 1'
_symmetry_Int_Tables_number 1
_symmetry_space_group_name_Hall 'P 1'
loop_
_atom_site_label
_atom_site_type_symbol
_atom_site_fract_x
_atom_site_fract_y
_atom_site_fract_z
Fe1 Fe 0.184 0.816 0.816
Fe2 Fe 0.816 0.184 0.184
La1 La 0.000 0.500 0.500
Si1 Si 0.500 0.000 0.000


(11)
# meta-GGA SCAN LaFeSi, PBEsol geometry
# SG ... P4/nmm
# Energy relative to the elements, uncorrected ... -143 kJ/mol of formula units
# DOS at the Fermi energy ... 5.87 states/eV per cell
data_LaFeSi
_cell_length_a 4.045
_cell_length_b 4.045
_cell_length_c 6.992
_cell_angle_alpha 90.00
_cell_angle_beta 90.00
_cell_angle_gamma 90.00
_symmetry_space_group_name_H-M 'P 1'
_symmetry_Int_Tables_number 1
_symmetry_space_group_name_Hall 'P 1'
loop_
_atom_site_label
_atom_site_type_symbol
_atom_site_fract_x
_atom_site_fract_y
_atom_site_fract_z
Si1 Si 0.500 0.000 0.158
Si2 Si 0.000 0.500 0.842
Fe1 Fe 0.000 0.000 0.000
Fe2 Fe 0.500 0.500 0.000
La1 La 0.500 0.000 0.687
La2 La 0.000 0.500 0.313


(12)
# meta-GGA SCAN LaFe2Si, PBEsol geometry
# SG ... Pmmm
# Energy relative to the elements, uncorrected ... 153 kJ/mol of formula units
# DOS at the Fermi energy ... 3.30 states/eV per cell
data_LaFe2Si
_cell_length_a 3.233
_cell_length_b 4.260
_cell_length_c 4.245
_cell_angle_alpha 90.00
_cell_angle_beta 90.00
_cell_angle_gamma 90.00
_symmetry_space_group_name_H-M 'P 1'
_symmetry_Int_Tables_number 1
_symmetry_space_group_name_Hall 'P 1'
loop_
_atom_site_label
_atom_site_type_symbol
_atom_site_fract_x
_atom_site_fract_y
_atom_site_fract_z
Fe1 Fe 0.000 0.000 0.000
Fe2 Fe 0.000 0.500 0.500
La1 La 0.500 0.500 0.000
Si1 Si 0.500 0.000 0.500


(13)
# meta-GGA SCAN LaFe8Si5, PBEsol geometry
# SG ... I4/mcm
# Energy relative to the elements, uncorrected ... -500 kJ/mol of formula units
# DOS at the Fermi energy ... 18.65 states/eV per cell
data_LaFe8Si5
_cell_length_a 7.783
_cell_length_b 7.904
_cell_length_c 7.783
_cell_angle_alpha 60.51
_cell_angle_beta 90.00
_cell_angle_gamma 119.49
_symmetry_space_group_name_H-M 'P 1'
_symmetry_Int_Tables_number 1
_symmetry_space_group_name_Hall 'P 1'
loop_
_atom_site_label
_atom_site_type_symbol
_atom_site_fract_x
_atom_site_fract_y
_atom_site_fract_z
La1 La 0.250 0.500 0.750
La2 La 0.750 0.500 0.250
Fe1 Fe 0.287 0.348 0.439
Fe2 Fe 0.713 0.652 0.561
Fe3 Fe 0.061 0.348 0.213
Fe4 Fe 0.787 0.348 0.713
Fe5 Fe 0.439 0.652 0.061
Fe6 Fe 0.939 0.652 0.787
Fe7 Fe 0.213 0.652 0.287
Fe8 Fe 0.561 0.348 0.939
Fe9 Fe 0.201 0.000 0.059
Fe10 Fe 0.799 0.000 0.941
Fe11 Fe 0.059 0.000 0.799
Fe12 Fe 0.701 0.000 0.441
Fe13 Fe 0.941 0.000 0.201
Fe14 Fe 0.299 0.000 0.559
Fe15 Fe 0.559 0.000 0.701
Fe16 Fe 0.441 0.000 0.299
Si1 Si 0.811 0.257 0.054
Si2 Si 0.189 0.743 0.946
Si3 Si 0.446 0.257 0.689
Si4 Si 0.311 0.257 0.189
Si5 Si 0.054 0.743 0.446
Si6 Si 0.554 0.743 0.311
Si7 Si 0.689 0.743 0.811
Si8 Si 0.946 0.257 0.554
Si9 Si 0.500 0.000 0.000
Si10 Si 0.000 0.000 0.500


(14)
# meta-GGA SCAN LaFeSi, PBEsol geometry
# SG ... I4mm
# Energy relative to the elements, uncorrected ... -14 kJ/mol of formula units
# DOS at the Fermi energy ... 2.41 states/eV per cell
data_LaFeSi
_cell_length_a 3.021
_cell_length_b 3.021
_cell_length_c 5.947
_cell_angle_alpha 104.71
_cell_angle_beta 104.71
_cell_angle_gamma 90.00
_symmetry_space_group_name_H-M 'P 1'
_symmetry_Int_Tables_number 1
_symmetry_space_group_name_Hall 'P 1'
loop_
_atom_site_label
_atom_site_type_symbol
_atom_site_fract_x
_atom_site_fract_y
_atom_site_fract_z
Fe1 Fe 0.965 0.965 0.930
La1 La 0.659 0.659 0.318
Si1 Si 0.376 0.376 0.753